Record 1
A geometry-optimized SrAsBr2 structure, computed with PBEsol.

The distance to the lowest polymorph of the same formula is 0.000 eV per atom. The total moment is 0.2 μB/f.u.

Cell: 4.3242 4.3242 6.1736 Å, 90.00 90.00 90.00°
Each line ends with the local moment (μB).
Fractional positions:
Br (0.5000, 0.5000, 0.2887)  0.02
Br (0.0000, 0.0000, 0.0040)  0.02
Sr (0.0000, 0.0000, 0.5201)  0.01
As (0.5000, 0.5000, 0.6872)  0.08

=====

Record 2
A geometry-optimized SrAsBr2 structure, computed with PBEsol.

The distance to the lowest polymorph of the same formula is 0.072 eV per atom. The total moment is 3.0 μB/f.u.

Cell: 4.6089 4.6089 8.6311 Å, 74.51 74.51 60.00°
Each line ends with the local moment (μB).
Fractional positions:
Br (0.2272, 0.2272, 0.3185)  0.06
Br (0.7728, 0.7728, 0.6815)  0.06
As (0.0000, 0.0000, 0.0000)  1.22
Sr (0.5000, 0.5000, 0.5000)  0.01

=====

Record 3
A geometry-optimized TaAs2Br structure, computed with PBEsol.

The distance to the lowest polymorph of the same formula is 0.125 eV per atom. The total moment is 0.0 μB/f.u.

Cell: 3.2964 3.2964 7.3385 Å, 90.00 90.00 90.00°
Fractional positions:
As (0.0000, 0.0000, 0.9782)
As (0.5000, 0.5000, 0.1643)
Br (0.0000, 0.0000, 0.5584)
Ta (0.5000, 0.5000, 0.7992)

=====

Record 4
A geometry-optimized TaAs2Br structure, computed with PBEsol.

The distance to the lowest polymorph of the same formula is 0.000 eV per atom. The total moment is 0.0 μB/f.u.

Cell: 3.5006 4.8269 6.5359 Å, 105.86 90.00 111.26°
Fractional positions:
Ta (0.2222, 0.4445, 0.8612)
As (0.7716, 0.5432, 0.1625)
As (0.9387, 0.8774, 0.9178)
Br (0.5674, 0.1349, 0.5584)

=====

Record 5
A geometry-optimized TaAsBr2 structure, computed with PBEsol.

The distance to the lowest polymorph of the same formula is 0.267 eV per atom. The total moment is 0.3 μB/f.u.

Cell: 4.9508 6.9665 6.9665 Å, 82.75 69.19 69.19°
Each line ends with the local moment (μB).
Fractional positions:
Br (0.8750, 0.1337, 0.3663)  -0.01
Br (0.3750, 0.8663, 0.6337)  -0.01
Br (0.7587, 0.3663, 0.8663)  -0.01
Br (0.9913, 0.6337, 0.1337)  -0.01
As (0.2500, 0.5000, 0.5000)  -0.04
As (0.5000, 0.0000, 0.0000)  -0.04
Ta (0.0000, 0.0000, 0.0000)  0.25
Ta (0.7500, 0.5000, 0.5000)  0.25

=====

Record 6
A geometry-optimized TaAsBr2 structure, computed with PBEsol.

The distance to the lowest polymorph of the same formula is 0.000 eV per atom. The total moment is 0.0 μB/f.u.

Cell: 3.2440 5.0615 7.2347 Å, 110.45 90.00 90.00°
Fractional positions:
Br (0.0000, 0.8498, 0.1997)
Br (0.0000, 0.1502, 0.8003)
As (0.5000, 0.5000, 0.5000)
Ta (0.5000, 0.0000, 0.5000)

=====

Record 7
A geometry-optimized TaAs2Br structure, computed with PBEsol.

The distance to the lowest polymorph of the same formula is 0.778 eV per atom. The total moment is 0.0 μB/f.u.

Cell: 4.7005 4.7005 4.7005 Å, 60.00 60.00 60.00°
Fractional positions:
As (0.2500, 0.2500, 0.2500)
As (0.7500, 0.7500, 0.7500)
Ta (0.5000, 0.5000, 0.5000)
Br (0.0000, 0.0000, 0.0000)

=====

Record 8
A geometry-optimized TaAs2Br structure, computed with PBEsol.

The distance to the lowest polymorph of the same formula is 0.142 eV per atom. The total moment is 0.0 μB/f.u.

Cell: 3.3564 3.3564 8.3721 Å, 78.44 78.44 60.00°
Fractional positions:
As (0.7382, 0.7382, 0.7853)
As (0.2618, 0.2618, 0.2147)
Br (0.5000, 0.5000, 0.5000)
Ta (0.0000, 0.0000, 0.0000)

=====

Record 9
A geometry-optimized TaAsBr4 structure, computed with PBEsol.

For the total energy, the calculation gives -2.883 eV/atom. The total moment is 0.0 μB/f.u.

Cell: 5.7429 5.7429 5.7429 Å, 60.00 60.00 60.00°
Fractional positions:
Br (0.3757, 0.3757, 0.3757)
Br (0.8730, 0.3757, 0.3757)
Br (0.3757, 0.3757, 0.8730)
Br (0.3757, 0.8730, 0.3757)
As (0.0000, 0.0000, 0.0000)
Ta (0.7500, 0.7500, 0.7500)

=====

Record 10
A geometry-optimized TaAs2Br structure, computed with PBEsol.

The distance to the lowest polymorph of the same formula is 0.074 eV per atom. The total moment is 0.0 μB/f.u.

Cell: 3.4089 3.4089 6.6654 Å, 90.00 90.00 90.00°
Fractional positions:
Ta (0.5000, 0.5000, 0.0000)
As (0.0000, 0.0000, 0.8055)
As (0.0000, 0.0000, 0.1945)
Br (0.5000, 0.5000, 0.5000)

=====

Record 11
A geometry-optimized TaTeAsBr2 structure, computed with PBEsol.

For the total energy, the calculation gives -4.801 eV/atom. The total moment is 0.0 μB/f.u.

Cell: 4.8971 4.8971 5.3121 Å, 90.00 90.00 90.00°
Fractional positions:
Ta (0.0000, 0.0000, 0.0000)
As (0.0000, 0.0000, 0.5000)
Br (0.0000, 0.5000, 0.0000)
Br (0.5000, 0.0000, 0.0000)
Te (0.5000, 0.5000, 0.5000)

=====

Record 12
A geometry-optimized TaTe2AsBr structure, computed with PBEsol.

For the total energy, the calculation gives -4.361 eV/atom. The total moment is 1.4 μB/f.u.

Cell: 4.8977 5.3936 5.3936 Å, 90.00 90.00 90.00°
Each line ends with the local moment (μB).
Fractional positions:
Te (0.0000, 0.0000, 0.5000)  -0.07
Te (0.0000, 0.5000, 0.0000)  -0.07
Ta (0.5000, 0.0000, 0.0000)  1.08
Br (0.5000, 0.5000, 0.5000)  -0.02
As (0.0000, 0.0000, 0.0000)  -0.01

=====

Record 13
A geometry-optimized YTaAsBr2 structure, computed with PBEsol.

The distance to the lowest polymorph of the same formula is 0.000 eV per atom. The total moment is 0.3 μB/f.u.

Cell: 4.9637 4.9637 5.0941 Å, 90.00 90.00 90.00°
Each line ends with the local moment (μB).
Fractional positions:
Br (0.5000, 0.0000, 0.0000)  0.00
Br (0.0000, 0.5000, 0.0000)  0.00
Y (0.5000, 0.5000, 0.5000)  0.14
Ta (0.0000, 0.0000, 0.0000)  0.05
As (0.0000, 0.0000, 0.5000)  0.00

=====

Record 14
A geometry-optimized YTaAsBr2 structure, computed with PBEsol.

The distance to the lowest polymorph of the same formula is 0.551 eV per atom. The total moment is 3.0 μB/f.u.

Cell: 5.1997 5.1997 5.6854 Å, 90.00 90.00 90.00°
Each line ends with the local moment (μB).
Fractional positions:
As (0.0000, 0.0000, 0.5000)  -0.18
Y (0.0000, 0.0000, 0.0000)  0.00
Ta (0.5000, 0.5000, 0.5000)  2.15
Br (0.5000, 0.0000, 0.0000)  0.01
Br (0.0000, 0.5000, 0.0000)  0.01

=====

Record 15
A geometry-optimized TaZnAsBr2 structure, computed with PBEsol.

For the total energy, the calculation gives -4.444 eV/atom. The total moment is 0.0 μB/f.u.

Cell: 5.0229 5.0733 5.0733 Å, 90.00 90.00 90.00°
Fractional positions:
Br (0.0000, 0.0000, 0.5000)
Br (0.0000, 0.5000, 0.0000)
Zn (0.5000, 0.5000, 0.5000)
Ta (0.0000, 0.0000, 0.0000)
As (0.5000, 0.0000, 0.0000)

=====

Record 16
A geometry-optimized ZrTaAs2Br structure, computed with PBEsol.

For the total energy, the calculation gives -5.899 eV/atom. The total moment is 2.5 μB/f.u.

Cell: 4.9775 5.1103 5.1103 Å, 90.00 90.00 90.00°
Each line ends with the local moment (μB).
Fractional positions:
Ta (0.5000, 0.5000, 0.5000)  1.88
As (0.0000, 0.0000, 0.5000)  -0.09
As (0.0000, 0.5000, 0.0000)  -0.09
Zr (0.0000, 0.0000, 0.0000)  0.00
Br (0.5000, 0.0000, 0.0000)  -0.02

=====

Record 17
A geometry-optimized YTcAs2Br structure, computed with PBEsol.

For the total energy, the calculation gives -6.090 eV/atom. The total moment is 0.0 μB/f.u.

Cell: 4.7175 4.7175 5.1276 Å, 90.00 90.00 90.00°
Fractional positions:
Br (0.0000, 0.0000, 0.5000)
Y (0.5000, 0.5000, 0.5000)
As (0.5000, 0.0000, 0.0000)
As (0.0000, 0.5000, 0.0000)
Tc (0.0000, 0.0000, 0.0000)

=====

Record 18
A geometry-optimized Y2TcAsBr structure, computed with PBEsol.

For the total energy, the calculation gives -5.686 eV/atom. The total moment is 2.2 μB/f.u.

Cell: 5.0968 5.3692 5.3692 Å, 90.00 90.00 90.00°
Each line ends with the local moment (μB).
Fractional positions:
Y (0.0000, 0.5000, 0.0000)  -0.27
Y (0.0000, 0.0000, 0.5000)  -0.27
Tc (0.5000, 0.5000, 0.5000)  2.80
Br (0.5000, 0.0000, 0.0000)  0.03
As (0.0000, 0.0000, 0.0000)  0.01

=====

Record 19
A geometry-optimized ZrTcAsBr2 structure, computed with PBEsol.

For the total energy, the calculation gives -5.249 eV/atom. The total moment is 1.4 μB/f.u.

Cell: 4.7293 4.9171 4.9171 Å, 90.00 90.00 90.00°
Each line ends with the local moment (μB).
Fractional positions:
Br (0.0000, 0.5000, 0.0000)  -0.04
Br (0.0000, 0.0000, 0.5000)  -0.04
Zr (0.5000, 0.5000, 0.5000)  1.06
As (0.5000, 0.0000, 0.0000)  -0.04
Tc (0.0000, 0.0000, 0.0000)  -0.07

=====

Record 20
A geometry-optimized TeAsBr2 structure, computed with PBEsol.

For the total energy, the calculation gives -2.959 eV/atom. The total moment is 0.0 μB/f.u.

Cell: 3.3659 5.4988 6.9549 Å, 113.14 104.00 90.00°
Fractional positions:
Br (0.8319, 0.8317, 0.6637)
Br (0.1681, 0.1683, 0.3363)
Te (0.0000, 0.5000, 0.0000)
As (0.5000, 0.0000, 0.0000)